Compound: ZnAgW
Source: the Alexandria database
Functional: meta-GGA SCAN
Structure: PBEsol geometry

a = 2.7630 Å, b = 2.7630 Å, c = 6.9183 Å
α = 90.00°, β = 90.00°, γ = 120.00°
Closest atoms and distances in Å follow each position.
Space group P3m1 (No. 156)
Unique sites:
Zn: 0.0000 0.0000 0.0000 [1 per cell]  3 Ag 2.75, 6 Zn 2.76, 3 W 2.77
Ag: 0.6667 0.3333 0.6766 [1 per cell]  3 Zn 2.75, 6 Ag 2.76, 3 W 2.90
W: 0.3333 0.6667 0.3267 [1 per cell]  6 W 2.76, 3 Zn 2.77, 3 Ag 2.90

Results
total magnetization = 0.0 μB per formula unit
E_form = 369 meV/atom
Fermi-level density of states = 1.83 states/eV/cell

=====

Compound: AlTcAu2
Source: the Alexandria database
Functional: meta-GGA SCAN
Structure: PBEsol geometry

a = 3.9843 Å, b = 3.9843 Å, c = 7.8198 Å
α = 90.00°, β = 90.00°, γ = 90.00°
Closest atoms and distances in Å follow each position.
Space group I4/mmm (No. 139)
Unique sites:
Al: 0.0000 0.0000 0.0000 [2 per cell]  8 Au 2.79, 4 Tc 2.82
Tc: 0.0000 0.0000 0.5000 [2 per cell]  8 Au 2.79, 4 Al 2.82
Au: 0.0000 0.5000 0.2500 [4 per cell]  4 Tc 2.79, 4 Al 2.79, 4 Au 2.82

Results
total magnetization = 0.0 μB per formula unit
E_form = 9 meV/atom
Fermi-level density of states = 5.50 states/eV/cell

=====

Compound: Cr2W
Source: the Alexandria database
Functional: meta-GGA SCAN
Structure: PBEsol geometry

a = 4.1565 Å, b = 12.4945 Å, c = 2.9560 Å
α = 90.00°, β = 90.00°, γ = 90.00°
Closest atoms and distances in Å follow each position.
Space group Cmcm (No. 63)
Unique sites:
Cr: 0.0000 0.0859 0.2500 [4 per cell]  4 Cr 2.50-2.61, 4 W 2.55
Cr: 0.0000 0.2469 0.7500 [4 per cell]  6 Cr 2.50-2.55, 2 W 2.53
W: 0.0000 0.4112 0.2500 [4 per cell]  6 Cr 2.53-2.55, 2 W 2.67

Results
total magnetization = 0.0 μB per formula unit
E_form = 76 meV/atom
Fermi-level density of states = 6.28 states/eV/cell
offset from the most stable computed form = 22 meV per atom